DFT (PBE) results for a relaxed structure of RbCdS2O8.

Space-group type = P-3 (147)
Energy = -66.51 eV for the cell shown
Formation energy without anion corrections = -1.392 eV per atom

Unit cell a=5.1595 b=5.1595 c=8.6425 alpha=90.00 beta=90.00 gamma=120.00
Last column: nearest neighbours and their distance in Å.
Element x y z (fractional)
1 Rb 0.0000 0.0000 0.0000  12 O 3.12-3.38
2 Cd 0.0000 0.0000 0.5000  6 O 2.30
3 S 0.3333 0.6667 0.7229  4 O 1.48-1.49
4 S 0.6667 0.3333 0.2771  4 O 1.48-1.49
5 O 0.0775 0.3778 0.6678  1 S 1.49
6 O 0.3003 0.9225 0.6678  1 S 1.49
7 O 0.3333 0.6667 0.8944  1 S 1.48
8 O 0.3778 0.3003 0.3322  1 S 1.49
9 O 0.6222 0.6997 0.6678  1 S 1.49
10 O 0.6667 0.3333 0.1056  1 S 1.48
11 O 0.6997 0.0775 0.3322  1 S 1.49
12 O 0.9225 0.6222 0.3322  1 S 1.49